## a
First-principles (PBE-GGA) data for crystalline Mn2ZnP at its relaxed geometry, as listed in Alexandria.

a = 2.786 Å, b = 2.786 Å, c = 6.101 Å
α = 90.00°, β = 90.00°, γ = 90.00°
Space group P4/mmm (No. 123)
Inequivalent atoms, fractional coordinates:
1 Mn 0.000 0.000 0.209
2 Zn 0.500 0.500 0.500
3 P 0.500 0.500 0.000

Crystal system   tetragonal



## b
First-principles (PBE-GGA) data for crystalline Mn2ZnP at its relaxed geometry, as listed in Alexandria.

a = 3.370 Å, b = 4.242 Å, c = 7.039 Å
α = 90.00°, β = 90.00°, γ = 90.00°
Space group Immm (No. 71)
Inequivalent atoms, fractional coordinates:
1 Mn 0.000 0.000 0.216
2 Zn 0.000 0.500 0.000
3 P 0.000 0.500 0.500

Crystal system   orthorhombic



Energy ordering: a at the bottom, the next structure 5.8 kJ/mol of atoms above.



## a
First-principles (PBE-GGA) data for crystalline MnZn3P at its relaxed geometry, as listed in Alexandria.

a = 4.691 Å, b = 4.691 Å, c = 4.691 Å
α = 90.00°, β = 90.00°, γ = 90.00°
Space group Pm-3m (No. 221)
Inequivalent atoms, fractional coordinates:
1 Mn 0.000 0.000 0.000
2 Zn 0.000 0.000 0.500
3 P 0.500 0.500 0.500

Crystal system   cubic



## b
First-principles (PBE-GGA) data for crystalline MnZn3P at its relaxed geometry, as listed in Alexandria.

a = 4.682 Å, b = 4.682 Å, c = 4.682 Å
α = 90.00°, β = 90.00°, γ = 90.00°
Space group Pm-3m (No. 221)
Inequivalent atoms, fractional coordinates:
1 Mn 0.000 0.000 0.000
2 Zn 0.000 0.500 0.500
3 P 0.500 0.500 0.500

Crystal system   cubic



Energy ordering: b at the bottom, the next structure 27.8 kJ/mol of atoms above.



## a
First-principles (PBE-GGA) data for crystalline MnZnP3 at its relaxed geometry, as listed in Alexandria.

a = 4.535 Å, b = 4.535 Å, c = 4.535 Å
α = 90.00°, β = 90.00°, γ = 90.00°
Space group Pm-3m (No. 221)
Inequivalent atoms, fractional coordinates:
1 Mn 0.000 0.000 0.000
2 Zn 0.500 0.500 0.500
3 P 0.000 0.500 0.500

Crystal system   cubic



## b
First-principles (PBE-GGA) data for crystalline MnZnP3 at its relaxed geometry, as listed in Alexandria.

a = 4.412 Å, b = 4.412 Å, c = 4.412 Å
α = 90.00°, β = 90.00°, γ = 90.00°
Space group Pm-3m (No. 221)
Inequivalent atoms, fractional coordinates:
1 Mn 0.000 0.000 0.000
2 Zn 0.500 0.500 0.500
3 P 0.000 0.000 0.500

Crystal system   cubic



Energy ordering: b at the bottom, the next structure 98.1 kJ/mol of atoms above.



## a
First-principles (PBE-GGA) data for crystalline Pa3Mn at its relaxed geometry, as listed in Alexandria.

a = 11.158 Å, b = 11.158 Å, c = 5.492 Å
α = 90.00°, β = 90.00°, γ = 90.00°
Space group P4_2/n (No. 86, origin choice 2)
Inequivalent atoms, fractional coordinates:
1 Pa 0.040 0.919 0.239
2 Pa 0.118 0.293 0.498
3 Pa 0.135 0.832 0.768
4 Mn 0.047 0.322 0.987

Crystal system   tetragonal



## b
First-principles (PBE-GGA) data for crystalline Pa3Mn at its relaxed geometry, as listed in Alexandria.

a = 4.408 Å, b = 4.408 Å, c = 9.202 Å
α = 90.00°, β = 90.00°, γ = 90.00°
Space group I4/mmm (No. 139)
Inequivalent atoms, fractional coordinates:
1 Pa 0.000 0.000 0.000
2 Pa 0.000 0.500 0.250
3 Mn 0.000 0.000 0.500

Crystal system   tetragonal



Energy ordering: a at the bottom, the next structure 21.7 kJ/mol of atoms above.